Entry 1:
A plane-wave DFT calculation with GGA-PBE was carried out for a geometry-optimized KErTl2F6 structure.

Cell lengths 6.4851, 6.7216, 11.3082 Å; angles 90.00, 124.56, 90.00 degrees
Fractional positions:
K 0.0000 0.0000 0.0000
K 0.0000 0.5000 0.5000
Er 0.5000 0.0000 0.5000
Er 0.5000 0.5000 0.0000
Tl 0.2377 0.0396 0.7469
Tl 0.2377 0.4604 0.2469
Tl 0.7623 0.5396 0.7531
Tl 0.7623 0.9604 0.2531
F 0.1819 0.1722 0.4590
F 0.1819 0.3278 0.9590
F 0.2752 0.7314 0.4430
F 0.2752 0.7686 0.9430
F 0.3738 0.0413 0.2775
F 0.3738 0.4587 0.7775
F 0.6262 0.5413 0.2225
F 0.6262 0.9587 0.7225
F 0.7248 0.2314 0.0570
F 0.7248 0.2686 0.5570
F 0.8181 0.6722 0.0410
F 0.8181 0.8278 0.5410

Output
The calculated density comes out at 5965 kg/m3. For the density of states at the Fermi level, the calculation gives 0.0 states/eV per cell. For the energy, the calculation gives -5.11 eV per atom. Its size of the total moment is 0.00 μB/f.u.

Entry 2:
A plane-wave DFT calculation with GGA-PBE was carried out for a geometry-optimized CsRb2ZrCl6 structure.

Cell lengths 8.2084, 8.2084, 8.2084 Å; angles 60.00, 60.00, 60.00 degrees
Fractional positions:
Cs 0.0000 0.0000 0.0000
Rb 0.2500 0.2500 0.2500
Rb 0.7500 0.7500 0.7500
Zr 0.5000 0.5000 0.5000
Cl 0.2799 0.2799 0.7201
Cl 0.2799 0.7201 0.2799
Cl 0.2799 0.7201 0.7201
Cl 0.7201 0.2799 0.2799
Cl 0.7201 0.2799 0.7201
Cl 0.7201 0.7201 0.2799

Output
The calculated density comes out at 2581 kg/m3. For the density of states at the Fermi level, the calculation gives 14.5 states/eV per cell. For the energy, the calculation gives -4.03 eV per atom. Its size of the total moment is 1.00 μB/f.u.

Entry 3:
A plane-wave DFT calculation with GGA-PBE was carried out for a geometry-optimized YTmThSc structure.

Cell lengths 5.5287, 5.5287, 5.5287 Å; angles 60.00, 60.00, 60.00 degrees
Fractional positions:
Y 0.0000 0.0000 0.0000
Tm 0.2500 0.2500 0.2500
Th 0.5000 0.5000 0.5000
Sc 0.7500 0.7500 0.7500

Output
The calculated density comes out at 7432 kg/m3. For the density of states at the Fermi level, the calculation gives 7.1 states/eV per cell. For the energy, the calculation gives -6.07 eV per atom. Its size of the total moment is 0.00 μB/f.u. Its formation energy is 0.100 eV per atom.

Entry 4:
A plane-wave DFT calculation with GGA-PBE was carried out for a geometry-optimized FeTeMo2 structure.

Cell lengths 4.4571, 4.4571, 4.4571 Å; angles 60.00, 60.00, 60.00 degrees
Fractional positions:
Fe 0.0000 0.0000 0.0000
Te 0.5000 0.5000 0.5000
Mo 0.2500 0.2500 0.2500
Mo 0.7500 0.7500 0.7500

Output
The calculated density comes out at 9954 kg/m3. For the density of states at the Fermi level, the calculation gives 7.5 states/eV per cell. For the energy, the calculation gives -7.83 eV per atom. Its size of the total moment is 0.00 μB/f.u.

Entry 5:
A plane-wave DFT calculation with GGA-PBE was carried out for a geometry-optimized Nd3DyMg4 structure.

Cell lengths 3.8593, 3.8593, 15.5004 Å; angles 90.00, 90.00, 90.00 degrees
Fractional positions:
Nd 0.0000 0.0000 0.0000
Nd 0.0000 0.0000 0.2549
Nd 0.0000 0.0000 0.7451
Dy 0.0000 0.0000 0.5000
Mg 0.5000 0.5000 0.1275
Mg 0.5000 0.5000 0.3815
Mg 0.5000 0.5000 0.6185
Mg 0.5000 0.5000 0.8725

Output
The calculated density comes out at 4981 kg/m3. For the density of states at the Fermi level, the calculation gives 9.9 states/eV per cell. For the energy, the calculation gives -3.26 eV per atom. Its size of the total moment is 0.00 μB/f.u. Its formation energy is -0.100 eV per atom.

Entry 6:
A plane-wave DFT calculation with GGA-PBE was carried out for a geometry-optimized Sc3IN structure.

Cell lengths 4.5261, 4.5261, 4.5261 Å; angles 90.00, 90.00, 90.00 degrees
Fractional positions:
Sc 0.0000 0.0000 0.5000
Sc 0.0000 0.5000 0.0000
Sc 0.5000 0.0000 0.0000
I 0.5000 0.5000 0.5000
N 0.0000 0.0000 0.0000

Output
The calculated density comes out at 4939 kg/m3. For the density of states at the Fermi level, the calculation gives 8.3 states/eV per cell. For the energy, the calculation gives -6.35 eV per atom. Its size of the total moment is 0.00 μB/f.u.

Entry 7:
A plane-wave DFT calculation with GGA-PBE was carried out for a geometry-optimized FeCo2Os structure.

Cell lengths 4.8384, 4.8384, 4.8384 Å; angles 146.32, 128.39, 63.05 degrees
Fractional positions:
Fe 0.0000 0.0000 0.0000
Co 0.2372 0.7372 0.5000
Co 0.7628 0.2628 0.5000
Os 0.5000 0.5000 0.0000

Output
The calculated density comes out at 12411 kg/m3. For the density of states at the Fermi level, the calculation gives 5.4 states/eV per cell. For the energy, the calculation gives -8.27 eV per atom. Its size of the total moment is 6.34 μB/f.u. Its formation energy is 0.205 eV per atom.

Entry 8:
A plane-wave DFT calculation with GGA-PBE was carried out for a geometry-optimized BiTeIO3 structure.

Cell lengths 9.7135, 7.1813, 8.1263 Å; angles 90.00, 105.60, 90.00 degrees
Fractional positions:
Bi 0.0949 0.1254 0.3342
Bi 0.0949 0.3746 0.8342
Bi 0.9051 0.6254 0.1658
Bi 0.9051 0.8746 0.6657
Te 0.2236 0.6756 0.5111
Te 0.2236 0.8244 0.0111
Te 0.7764 0.1756 0.9889
Te 0.7764 0.3244 0.4889
I 0.3543 0.1611 0.6526
I 0.3543 0.3389 0.1526
I 0.6457 0.6611 0.8474
I 0.6457 0.8389 0.3474
O 0.0643 0.6504 0.9725
O 0.0643 0.8496 0.4725
O 0.1025 0.0064 0.8759
O 0.1025 0.4936 0.3759
O 0.2071 0.6164 0.7345
O 0.2071 0.8836 0.2345
O 0.7929 0.1164 0.7655
O 0.7929 0.3836 0.2655
O 0.8975 0.5064 0.6241
O 0.8975 0.9936 0.1241
O 0.9357 0.1504 0.5275
O 0.9357 0.3496 0.0275

Output
The calculated density comes out at 6223 kg/m3. For the density of states at the Fermi level, the calculation gives 0.0 states/eV per cell. For the energy, the calculation gives -4.90 eV per atom. Its size of the total moment is 0.00 μB/f.u.

Entry 9:
A plane-wave DFT calculation with GGA-PBE was carried out for a geometry-optimized MnPbSe structure.

Cell lengths 3.5693, 3.5693, 6.4910 Å; angles 90.00, 90.00, 120.00 degrees
Fractional positions:
Mn 0.0000 0.0000 0.0000
Pb 0.3333 0.6667 0.3443
Se 0.6667 0.3333 0.7972

Output
The calculated density comes out at 7909 kg/m3. For the density of states at the Fermi level, the calculation gives 2.2 states/eV per cell. For the energy, the calculation gives -5.50 eV per atom. Its size of the total moment is 3.45 μB/f.u.

Entry 10:
A plane-wave DFT calculation with GGA-PBE was carried out for a geometry-optimized RbNaHfTe3 structure.

Cell lengths 8.7832, 8.7832, 7.7884 Å; angles 90.00, 90.00, 123.93 degrees
Fractional positions:
Rb 0.2232 0.7768 0.7500
Rb 0.7768 0.2232 0.2500
Na 0.4261 0.5739 0.2500
Na 0.5739 0.4261 0.7500
Hf 0.0564 0.9436 0.2500
Hf 0.9436 0.0564 0.7500
Te 0.2294 0.7706 0.2500
Te 0.2316 0.2316 0.0000
Te 0.2316 0.2316 0.5000
Te 0.7684 0.7684 0.0000
Te 0.7684 0.7684 0.5000
Te 0.7706 0.2294 0.7500

Output
The calculated density comes out at 4462 kg/m3. For the energy, the calculation gives -4.52 eV per atom. Its size of the total moment is 0.00 μB/f.u.

Entry 11:
A plane-wave DFT calculation with GGA-PBE was carried out for a geometry-optimized TcAg2O6 structure.

Cell lengths 4.8201, 4.8201, 9.7624 Å; angles 90.00, 90.00, 90.00 degrees
Fractional positions:
Tc 0.0000 0.0000 0.0000
Tc 0.5000 0.5000 0.5000
Ag 0.0000 0.0000 0.3362
Ag 0.0000 0.0000 0.6638
Ag 0.5000 0.5000 0.1638
Ag 0.5000 0.5000 0.8362
O 0.1850 0.1850 0.1488
O 0.1850 0.1850 0.8512
O 0.2214 0.2214 0.5000
O 0.2786 0.7214 0.0000
O 0.3150 0.6850 0.3512
O 0.3150 0.6850 0.6488
O 0.6850 0.3150 0.3512
O 0.6850 0.3150 0.6488
O 0.7214 0.2786 0.0000
O 0.7786 0.7786 0.5000
O 0.8150 0.8150 0.1488
O 0.8150 0.8150 0.8512

Output
The calculated density comes out at 6000 kg/m3. For the density of states at the Fermi level, the calculation gives 14.7 states/eV per cell. For the energy, the calculation gives -5.53 eV per atom. Its size of the total moment is 0.00 μB/f.u.

Entry 12:
A plane-wave DFT calculation with GGA-PBE was carried out for a geometry-optimized Ba6SeS2I3 structure.

Cell lengths 8.0991, 8.0991, 8.6361 Å; angles 99.00, 99.00, 119.99 degrees
Fractional positions:
Ba 0.0906 0.4309 0.7929
Ba 0.2283 0.2283 0.2060
Ba 0.4309 0.0906 0.7929
Ba 0.5691 0.9094 0.2071
Ba 0.7717 0.7717 0.7940
Ba 0.9094 0.5691 0.2071
Se 0.5000 0.5000 0.0000
S 0.1668 0.8332 0.0000
S 0.8332 0.1668 0.0000
I 0.0000 0.0000 0.5000
I 0.3356 0.6644 0.5000
I 0.6644 0.3356 0.5000

Output
The calculated density comes out at 4802 kg/m3. For the density of states at the Fermi level, the calculation gives 6.3 states/eV per cell. For the energy, the calculation gives -4.05 eV per atom. Its size of the total moment is 0.00 μB/f.u.

energy of number 12 (Ba6SeS2I3)?
-4.05 eV per atom